Computed, not measured: SeSBr2 after structural relaxation at the PBE level of DFT.

Calculated values
V   359 Å³/cell
D(E_F)   2.8 states/eV/f.u.
Energy relative to the elements, uncorrected   0.9435 eV per atom
Crystal system   cubic

a b c (Å): 7.1060 7.1060 7.1060
angles (deg): 90.00 90.00 90.00
Closest atoms and distances in Å follow each position.
Space group Fm-3m (No. 225)
Asymmetric unit:
1 Se 0.0000 0.0000 0.0000 (multiplicity 4)  8 Br 3.08
2 S 0.0000 0.0000 0.5000 (multiplicity 4)  8 Br 3.08
3 Br 0.2500 0.2500 0.2500 (multiplicity 8)  4 S 3.08, 4 Se 3.08